1.
VASP calculation (PBE-GGA) on crystalline LaNd2Er3Te6 at its relaxed geometry.

abc: 4.363 8.978 9.969
angles: 105.15 102.64 90.00
Atoms (fractional coordinates):
Nd1 0.832 0.663 0.663
Nd2 0.168 0.337 0.337
Te1 0.672 0.077 0.343
Te2 0.663 0.593 0.325
Te3 0.997 0.262 0.995
Te4 0.328 0.923 0.657
Te5 0.003 0.738 0.005
Te6 0.337 0.407 0.675
Er1 0.834 0.166 0.668
Er2 0.500 0.500 0.000
Er3 0.166 0.834 0.332
La1 0.500 0.000 0.000

Calculated values
Formation energy without anion corrections in eV/atom: -1.3542
Magnetic moment in μB/f.u.: 0.01
Final energy in eV for the cell shown: -63.3
Space group: C2/m

2.
VASP calculation (PBE-GGA) on crystalline Cu3PbBr at its relaxed geometry.

abc: 4.787 4.787 4.787
angles: 90.00 90.00 90.00
Atoms (fractional coordinates):
Cu1 0.500 0.000 0.000
Cu2 0.000 0.000 0.500
Cu3 0.000 0.500 0.000
Pb1 0.500 0.500 0.500
Br1 0.000 0.000 0.000

Calculated values
Distance to the lowest polymorph of the same formula in eV/f.u.: 0.00
Formation energy without anion corrections in eV/atom: 0.7748
Magnetic moment in μB/f.u.: 0.00
Final energy in eV for the cell shown: -13.8
Space group: Pm-3m

3.
VASP calculation (PBE-GGA) on crystalline Ac7Ir3Pd at its relaxed geometry.

abc: 7.406 7.411 7.411
angles: 99.32 103.13 103.13
Atoms (fractional coordinates):
Ir1 0.500 0.000 0.000
Ir2 0.000 0.776 0.224
Ir3 0.000 0.224 0.776
Ac1 0.762 0.838 0.838
Ac2 0.268 0.630 0.048
Ac3 0.268 0.048 0.630
Ac4 0.238 0.162 0.162
Ac5 0.732 0.370 0.952
Ac6 0.732 0.952 0.370
Ac7 0.000 0.500 0.500
Pd1 0.500 0.500 0.500

Calculated values
ΔH_f (0 K) in eV/atom: -0.48
Magnetic moment in μB/f.u.: 0.00
Final energy in eV for the cell shown: -65.8
Space group: C2/m

4.
VASP calculation (PBE-GGA) on crystalline CoIrPt2 at its relaxed geometry.

abc: 9.018 9.018 9.018
angles: 17.43 17.43 17.43
Each line ends with the local moment (μB).
Atoms (fractional coordinates):
Ir1 0.756 0.756 0.756  0.22
Co1 0.498 0.498 0.498  1.73
Pt1 0.002 0.002 0.002  -0.01
Pt2 0.244 0.244 0.244  0.13

Calculated values
Distance to the lowest polymorph of the same formula in eV/f.u.: 0.00
ΔH_f (0 K) in eV/atom: -0.02
Magnetic moment in μB/f.u.: 2.06
Final energy in eV for the cell shown: -28.1
Space group: R3m

5.
VASP calculation (PBE-GGA) on crystalline LaPm4Nd3S8 at its relaxed geometry.

abc: 8.125 8.127 8.124
angles: 119.98 120.01 90.00
Atoms (fractional coordinates):
Nd1 0.000 0.500 0.500
Nd2 0.500 0.500 0.000
Nd3 0.500 0.500 0.500
S1 0.250 0.245 0.998
S2 0.253 0.755 0.002
S3 0.747 0.245 0.495
S4 0.249 0.246 0.498
S5 0.751 0.754 0.502
S6 0.750 0.755 0.002
S7 0.253 0.755 0.505
S8 0.747 0.245 0.998
Pm1 0.500 0.000 0.500
Pm2 0.000 0.000 0.000
Pm3 0.500 0.000 0.000
Pm4 0.000 0.000 0.500
La1 0.000 0.500 0.000

Calculated values
Formation energy without anion corrections in eV/atom: -2.0449
Magnetic moment in μB/f.u.: 0.00
Final energy in eV for the cell shown: -104.0
Space group: R-3m

6.
VASP calculation (PBE-GGA) on crystalline Ac12Ge6Ir at its relaxed geometry.

abc: 9.138 9.138 9.138
angles: 99.50 99.50 99.50
Atoms (fractional coordinates):
Ac1 0.435 0.815 0.576
Ac2 0.959 0.318 0.072
Ac3 0.928 0.041 0.682
Ac4 0.185 0.424 0.565
Ac5 0.815 0.576 0.435
Ac6 0.576 0.435 0.815
Ac7 0.682 0.928 0.041
Ac8 0.041 0.682 0.928
Ac9 0.072 0.959 0.318
Ac10 0.318 0.072 0.959
Ac11 0.424 0.565 0.185
Ac12 0.565 0.185 0.424
Ge1 0.696 0.871 0.378
Ge2 0.129 0.622 0.304
Ge3 0.622 0.304 0.129
Ge4 0.304 0.129 0.622
Ge5 0.871 0.378 0.696
Ge6 0.378 0.696 0.871
Ir1 0.000 0.000 0.000

Calculated values
ΔH_f (0 K) in eV/atom: -0.48
Magnetic moment in μB/f.u.: 0.68
Final energy in eV for the cell shown: -95.0
Space group: R-3

7.
VASP calculation (PBE-GGA) on crystalline ReC2 at its relaxed geometry.

abc: 3.951 3.951 6.008
angles: 63.52 63.52 42.43
Atoms (fractional coordinates):
Re1 0.828 0.828 0.218
Re2 0.172 0.172 0.782
C1 0.107 0.107 0.463
C2 0.407 0.407 0.904
C3 0.893 0.893 0.537
C4 0.593 0.593 0.096

Calculated values
Distance to the lowest polymorph of the same formula in eV/f.u.: 1.40
ΔH_f (0 K) in eV/atom: 0.91
Magnetic moment in μB/f.u.: 0.00
Final energy in eV for the cell shown: -56.4
Space group: C2/m

8.
VASP calculation (PBE-GGA) on crystalline Hg2GeBiW at its relaxed geometry.

abc: 5.194 4.955 5.194
angles: 90.00 90.00 90.00
Each line ends with the local moment (μB).
Atoms (fractional coordinates):
Hg1 0.500 0.000 0.000  -0.01
Hg2 0.000 0.000 0.500  0.00
Bi1 0.500 0.500 0.500  -0.29
W1 0.000 0.500 0.000  2.03
Ge1 0.000 0.000 0.000  -0.05

Calculated values
ΔH_f (0 K) in eV/atom: 1.08
Magnetic moment in μB/f.u.: 2.22
Final energy in eV for the cell shown: -16.7
Space group: P4/mmm